*a*
4
Lattice="3.043 0.031 0.000 -0.031 3.043 0.000 0.000 0.000 7.677" Properties=species:S:1:pos:R:3 comment="TaFe2Br | Alexandria via LeMat-Bulk | PBE | relaxed" vol_a3_per_cell=71 magmom_total_mub_per_atom=1.27 sg=P4mm dos_ef_per_ev_atom=0.70 pbc="T T T"
Br 1.506 1.537 5.400
Fe 0.000 0.000 0.697
Fe 1.506 1.537 1.916
Ta 0.000 0.000 3.503



*b*
4
Lattice="4.110 -0.258 -1.042 3.069 2.746 -1.042 -0.677 -0.235 6.956" Properties=species:S:1:pos:R:3 comment="TaFe2Br | Alexandria via LeMat-Bulk | PBE | relaxed" vol_a3_per_cell=82 magmom_total_mub_per_atom=0.63 sg=C2/m dos_ef_per_ev_atom=1.15 pbc="T T T"
Br 4.876 1.690 3.653
Fe 6.491 2.250 -1.202
Fe 3.939 1.365 1.553
Ta 1.625 0.563 1.218



Order from most stable to least stable according to the calculation: *a*, *b*



*a*
4
Lattice="-3.105 -2.067 3.823 -0.653 -5.295 0.260 4.017 3.497 -0.404" Properties=species:S:1:pos:R:3 comment="Ta2FeBr | Alexandria via LeMat-Bulk | PBE | relaxed" vol_a3_per_cell=67 magmom_total_mub_per_atom=0.48 sg=I-4m2 dos_ef_per_ev_atom=1.03 pbc="T T T"
Br -1.879 -3.681 2.041
Fe -0.484 -1.125 2.730
Ta 0.000 0.000 0.000
Ta 0.742 -2.739 0.948



*b*
8
Lattice="5.422 0.000 0.000 0.000 5.422 0.000 2.711 2.711 6.172" Properties=species:S:1:pos:R:3 comment="Ta2FeBr | Alexandria via LeMat-Bulk | PBE | relaxed" vol_a3_per_cell=181 magmom_total_mub_per_atom=0.00 sg=I-42d dos_ef_per_ev_atom=0.78 pbc="T T T"
Fe 2.711 2.711 0.000
Fe 2.711 5.422 3.086
Br 0.000 0.000 0.000
Br 5.422 2.711 3.086
Ta 3.722 1.356 1.543
Ta 1.701 4.067 1.543
Ta 4.067 4.412 4.629
Ta 6.778 6.433 4.629



Order from most stable to least stable according to the calculation: *a*, *b*



*a*
8
Lattice="-1.212 -3.994 -3.801 4.585 1.431 -2.965 4.230 -4.375 -0.943" Properties=species:S:1:pos:R:3 comment="Fe2TcBr | Alexandria via LeMat-Bulk | PBE | relaxed" vol_a3_per_cell=149 magmom_total_mub_per_atom=0.49 sg=I-42d dos_ef_per_ev_atom=0.61 pbc="T T T"
Tc 0.000 0.000 0.000
Tc 2.353 -4.825 -4.064
Br 1.687 -1.281 -3.383
Br 5.251 -2.112 -3.646
Fe 0.854 -3.474 -3.042
Fe 3.791 -0.636 -2.505
Fe 4.366 -4.265 -3.198
Fe 6.197 -5.501 -6.675



*b*
4
Lattice="-3.501 3.262 -0.423 -0.153 -2.605 4.033 1.636 1.926 1.306" Properties=species:S:1:pos:R:3 comment="Fe2TcBr | Alexandria via LeMat-Bulk | PBE | relaxed" vol_a3_per_cell=60 magmom_total_mub_per_atom=1.48 sg=Cmmm dos_ef_per_ev_atom=1.21 pbc="T T T"
Br 0.742 -0.340 2.669
Fe 0.000 0.000 0.000
Fe -1.827 0.328 1.805
Tc -0.933 2.594 0.441



Order from most stable to least stable according to the calculation: *b*, *a*



*a*
4
Lattice="0.000 3.040 3.040 3.040 0.000 3.040 3.040 3.040 0.000" Properties=species:S:1:pos:R:3 comment="Fe2TcBr | Alexandria via LeMat-Bulk | PBE | relaxed" vol_a3_per_cell=56 magmom_total_mub_per_atom=1.06 sg=Fm-3m dos_ef_per_ev_atom=0.92 pbc="T T T"
Tc 3.040 3.040 3.040
Br 0.000 0.000 0.000
Fe 1.520 1.520 1.520
Fe 4.560 4.560 4.560



*b*
4
Lattice="-2.036 -0.994 -1.687 0.092 -1.154 2.577 -5.323 6.013 2.881" Properties=species:S:1:pos:R:3 comment="Fe2TcBr | Alexandria via LeMat-Bulk | PBE | relaxed" vol_a3_per_cell=62 magmom_total_mub_per_atom=1.39 sg=Cmm2 dos_ef_per_ev_atom=1.20 pbc="T T T"
Br -5.056 3.540 2.656
Fe -0.106 0.120 0.057
Fe -2.259 0.380 1.142
Tc -2.507 2.832 1.357



Order from most stable to least stable according to the calculation: *b*, *a*



*a*
4
Lattice="-0.550 4.901 -0.434 -3.724 1.965 2.605 3.764 -3.069 0.965" Properties=species:S:1:pos:R:3 comment="Fe2TcBr | Alexandria via LeMat-Bulk | PBE | relaxed" vol_a3_per_cell=58 magmom_total_mub_per_atom=1.48 sg=I-4m2 dos_ef_per_ev_atom=1.26 pbc="T T T"
Br 0.538 2.633 0.808
Fe 0.000 0.000 0.000
Fe -1.049 1.165 2.328
Tc -2.137 3.433 1.086



*b*
4
Lattice="3.009 0.000 0.000 0.000 3.059 0.184 0.000 2.634 7.164" Properties=species:S:1:pos:R:3 comment="Fe2TcBr | Alexandria via LeMat-Bulk | PBE | relaxed" vol_a3_per_cell=64 magmom_total_mub_per_atom=1.20 sg=Pm dos_ef_per_ev_atom=1.06 pbc="T T T"
Br 1.505 3.126 5.449
Fe 0.000 0.354 0.453
Fe 1.505 1.805 1.850
Tc 0.000 3.255 3.269



Order from most stable to least stable according to the calculation: *b*, *a*



*a*
4
Lattice="-3.635 2.106 0.908 -3.105 0.300 -2.956 -3.672 -2.173 0.513" Properties=species:S:1:pos:R:3 comment="Fe2TcBr | Alexandria via LeMat-Bulk | PBE | relaxed" vol_a3_per_cell=56 magmom_total_mub_per_atom=1.07 sg=F-43m dos_ef_per_ev_atom=1.00 pbc="T T T"
Br -5.206 0.116 -0.768
Fe 0.000 0.000 0.000
Fe -7.809 0.175 -1.151
Tc -2.603 0.058 -0.384



*b*
4
Lattice="5.194 0.003 0.002 2.418 4.596 -0.002 -3.273 -3.182 2.478" Properties=species:S:1:pos:R:3 comment="Fe2TcBr | Alexandria via LeMat-Bulk | PBE | relaxed" vol_a3_per_cell=59 magmom_total_mub_per_atom=1.48 sg=Imm2 dos_ef_per_ev_atom=1.02 pbc="T T T"
Br 1.537 1.894 1.238
Fe 7.533 4.552 0.000
Fe 2.893 -0.421 1.240
Tc 3.795 2.293 0.000



Order from most stable to least stable according to the calculation: *b*, *a*



*a*
4
Lattice="-1.092 -2.582 -1.063 2.141 -1.507 1.460 -3.892 -0.494 5.197" Properties=species:S:1:pos:R:3 comment="Fe2TcBr | Alexandria via LeMat-Bulk | PBE | relaxed" vol_a3_per_cell=59 magmom_total_mub_per_atom=1.04 sg=P4mm dos_ef_per_ev_atom=0.84 pbc="T T T"
Br -2.424 -2.419 4.136
Fe -0.136 -0.017 0.182
Fe -0.435 -2.166 1.480
Tc -1.793 -0.228 2.394



*b*
4
Lattice="2.949 0.000 0.000 0.000 4.408 0.000 0.000 0.000 4.476" Properties=species:S:1:pos:R:3 comment="Fe2TcBr | Alexandria via LeMat-Bulk | PBE | relaxed" vol_a3_per_cell=58 magmom_total_mub_per_atom=1.43 sg=Pmmm dos_ef_per_ev_atom=1.34 pbc="T T T"
Br 0.000 2.204 2.238
Fe 0.000 0.000 0.000
Fe 1.474 2.204 0.000
Tc 1.474 0.000 2.238



*c*
4
Lattice="-1.310 -0.644 -4.537 -1.257 -3.281 -3.220 -4.441 0.381 0.939" Properties=species:S:1:pos:R:3 comment="Fe2TcBr | Alexandria via LeMat-Bulk | PBE | relaxed" vol_a3_per_cell=61 magmom_total_mub_per_atom=1.18 sg=C2/m dos_ef_per_ev_atom=0.95 pbc="T T T"
Br -1.752 -0.886 -1.704
Fe -4.239 0.294 0.758
Fe -3.706 -1.686 -3.227
Tc -5.256 -2.658 -5.113



Order from most stable to least stable according to the calculation: *a*, *c*, *b*



*a*
4
Lattice="8.166 -0.081 -0.048 7.660 2.830 -0.048 7.660 1.330 2.498" Properties=species:S:1:pos:R:3 comment="Fe2TcBr | Alexandria via LeMat-Bulk | PBE | relaxed" vol_a3_per_cell=60 magmom_total_mub_per_atom=1.37 sg=R3m dos_ef_per_ev_atom=1.31 pbc="T T T"
Br 17.564 3.051 1.797
Fe 23.365 4.058 2.390
Fe 5.907 1.026 0.604
Tc 11.880 2.063 1.215



*b*
4
Lattice="-0.966 -4.308 2.259 3.767 -1.962 2.561 -2.187 4.444 -0.250" Properties=species:S:1:pos:R:3 comment="Fe2TcBr | Alexandria via LeMat-Bulk | PBE | relaxed" vol_a3_per_cell=59 magmom_total_mub_per_atom=1.31 sg=I4/mmm dos_ef_per_ev_atom=1.59 pbc="T T T"
Br -0.876 -1.500 2.209
Fe 0.000 0.000 0.000
Fe 1.400 -3.135 2.410
Tc 1.490 -0.326 2.361



Order from most stable to least stable according to the calculation: *a*, *b*



*a*
4
Lattice="-1.742 -1.264 1.899 0.510 -1.551 -2.360 6.590 -3.492 3.721" Properties=species:S:1:pos:R:3 comment="Fe2TcBr | Alexandria via LeMat-Bulk | PBE | relaxed" vol_a3_per_cell=62 magmom_total_mub_per_atom=1.49 sg=Cmmm dos_ef_per_ev_atom=1.28 pbc="T T T"
Br 4.327 -4.027 2.560
Fe 0.096 -0.051 0.054
Fe 3.198 -1.695 1.806
Tc 1.032 -2.281 0.700



*b*
4
Lattice="-0.282 -2.969 0.231 1.225 0.099 2.764 -6.595 0.852 2.889" Properties=species:S:1:pos:R:3 comment="Fe2TcBr | Alexandria via LeMat-Bulk | PBE | relaxed" vol_a3_per_cell=66 magmom_total_mub_per_atom=1.45 sg=Pmmm dos_ef_per_ev_atom=1.23 pbc="T T T"
Br -4.169 -0.771 4.355
Fe 0.632 0.111 2.197
Fe -2.092 0.463 3.393
Tc -1.484 -1.247 1.529



*c*
4
Lattice="-1.475 -0.959 -2.394 1.910 -2.259 -0.272 -4.046 -3.910 4.060" Properties=species:S:1:pos:R:3 comment="Fe2TcBr | Alexandria via LeMat-Bulk | PBE | relaxed" vol_a3_per_cell=61 magmom_total_mub_per_atom=1.31 sg=P4/mmm dos_ef_per_ev_atom=1.17 pbc="T T T"
Br -2.817 -4.542 1.712
Fe -0.108 -0.105 0.109
Fe -1.915 -1.850 1.921
Tc -0.794 -2.587 -0.318



*d*
4
Lattice="5.167 0.001 0.008 2.468 4.540 -0.008 -3.301 -3.139 2.439" Properties=species:S:1:pos:R:3 comment="Fe2TcBr | Alexandria via LeMat-Bulk | PBE | relaxed" vol_a3_per_cell=57 magmom_total_mub_per_atom=1.24 sg=Immm dos_ef_per_ev_atom=1.25 pbc="T T T"
Br 1.492 1.835 1.216
Fe 0.040 0.024 0.000
Fe 3.777 2.246 0.000
Tc 2.842 -0.434 1.224



Order from most stable to least stable according to the calculation: *b*, *c*, *a*, *d*



*a*
4
Lattice="-6.173 1.906 -5.019 -5.777 -0.965 -5.712 -7.454 -0.216 -3.365" Properties=species:S:1:pos:R:3 comment="Fe2TcBr | Alexandria via LeMat-Bulk | PBE | relaxed" vol_a3_per_cell=62 magmom_total_mub_per_atom=1.45 sg=R-3m dos_ef_per_ev_atom=1.47 pbc="T T T"
Br -14.554 0.544 -10.572
Fe -19.332 0.722 -14.043
Fe -9.775 0.365 -7.101
Tc -4.851 0.181 -3.524



*b*
4
Lattice="-3.675 1.206 -0.229 -2.856 -0.452 -2.579 -2.475 -5.601 3.089" Properties=species:S:1:pos:R:3 comment="Fe2TcBr | Alexandria via LeMat-Bulk | PBE | relaxed" vol_a3_per_cell=73 magmom_total_mub_per_atom=0.94 sg=Cm dos_ef_per_ev_atom=1.27 pbc="T T T"
Br -1.210 -1.449 0.600
Fe -2.806 -5.058 2.590
Fe -7.042 -3.521 0.030
Tc -4.925 -2.845 0.290



Order from most stable to least stable according to the calculation: *a*, *b*



*a*
10
Lattice="-2.388 4.363 -3.849 2.927 -2.695 -4.870 -3.276 -2.372 -0.656" Properties=species:S:1:pos:R:3 comment="Fe2TcBr2 | Alexandria via LeMat-Bulk | PBE | relaxed" vol_a3_per_cell=162 magmom_total_mub_per_atom=0.36 sg=P4/mbm dos_ef_per_ev_atom=1.21 pbc="T T T"
Tc 0.000 0.000 0.000
Tc 0.270 0.834 -4.360
Br -0.070 -2.212 -4.445
Br -0.930 -0.338 -6.926
Br -2.666 1.508 -4.931
Br -1.807 -0.366 -2.450
Fe 1.665 -0.725 -5.690
Fe -0.251 2.121 -6.414
Fe -1.126 2.393 -3.029
Fe 0.790 -0.453 -2.306



*b*
5
Lattice="4.386 0.000 0.000 0.000 4.386 0.000 2.193 2.193 5.208" Properties=species:S:1:pos:R:3 comment="Fe2TcBr2 | Alexandria via LeMat-Bulk | PBE | relaxed" vol_a3_per_cell=100 magmom_total_mub_per_atom=0.50 sg=I4/mmm dos_ef_per_ev_atom=1.39 pbc="T T T"
Tc 0.000 0.000 0.000
Br 4.386 2.193 2.604
Br 2.193 4.386 2.604
Fe 2.193 2.193 1.103
Fe 4.386 4.386 4.106



Order from most stable to least stable according to the calculation: *b*, *a*



*a*
4
Lattice="-1.167 1.253 -4.517 3.056 -0.916 -3.627 -1.065 -3.409 -3.253" Properties=species:S:1:pos:R:3 comment="Fe2TeBr | Alexandria via LeMat-Bulk | PBE | relaxed" vol_a3_per_cell=80 magmom_total_mub_per_atom=1.63 sg=F-43m dos_ef_per_ev_atom=0.78 pbc="T T T"
Br 0.412 -1.536 -5.698
Fe 0.000 0.000 0.000
Fe 0.206 -0.768 -2.849
Te 0.618 -2.304 -8.548



*b*
4
Lattice="-1.157 3.277 -1.459 -5.321 -3.181 -2.923 -5.259 -1.530 0.735" Properties=species:S:1:pos:R:3 comment="Fe2TeBr | Alexandria via LeMat-Bulk | PBE | relaxed" vol_a3_per_cell=84 magmom_total_mub_per_atom=1.67 sg=P2/m dos_ef_per_ev_atom=1.83 pbc="T T T"
Br -2.629 -0.765 0.368
Fe 0.000 0.000 0.000
Fe -3.239 0.048 -2.191
Te -5.868 -0.717 -1.823



*c*
4
Lattice="3.621 0.000 0.000 0.000 3.626 -0.043 0.000 0.089 7.393" Properties=species:S:1:pos:R:3 comment="Fe2TeBr | Alexandria via LeMat-Bulk | PBE | relaxed" vol_a3_per_cell=97 magmom_total_mub_per_atom=1.44 sg=P4mm dos_ef_per_ev_atom=0.21 pbc="T T T"
Br 1.811 3.251 6.427
Fe 0.000 3.184 0.872
Fe 1.811 1.370 0.891
Te 0.000 1.393 2.792



Order from most stable to least stable according to the calculation: *c*, *b*, *a*



*a*
4
Lattice="8.055 0.007 0.001 6.526 4.721 -0.001 -7.235 -2.534 2.471" Properties=species:S:1:pos:R:3 comment="Fe2TeBr | Alexandria via LeMat-Bulk | PBE | relaxed" vol_a3_per_cell=94 magmom_total_mub_per_atom=1.31 sg=Imm2 dos_ef_per_ev_atom=0.60 pbc="T T T"
Br 4.128 -0.058 1.236
Fe 0.935 0.303 0.000
Fe 2.168 1.911 1.235
Te 7.406 2.401 0.000



*b*
4
Lattice="7.669 -0.002 -0.001 6.749 3.642 -0.001 6.749 1.704 3.219" Properties=species:S:1:pos:R:3 comment="Fe2TeBr | Alexandria via LeMat-Bulk | PBE | relaxed" vol_a3_per_cell=90 magmom_total_mub_per_atom=1.11 sg=R3m dos_ef_per_ev_atom=0.84 pbc="T T T"
Br 15.119 3.817 2.298
Fe 20.736 5.235 3.151
Fe 5.599 1.414 0.851
Te 11.462 2.894 1.742



Order from most stable to least stable according to the calculation: *b*, *a*